DFT (PBE) results for Sr2PmP after structural relaxation.

Properties
As for the total energy: -43.92 eV per cell. The density of states at the Fermi level comes out at 0.989 states/eV per atom. Its energy relative to the elements is -0.279 eV per atom. For the density, the calculation gives 3.5 g/cm3.

The structure in CIF format:
```
data_Sr2PmP
_symmetry_space_group_name_H-M 'R -3 m'
_symmetry_Int_Tables_number 166
_symmetry_space_group_name_Hall '-R 3 2"'
_cell_length_a 4.1396
_cell_length_b 4.1396
_cell_length_c 33.5798
_cell_angle_alpha 90.00
_cell_angle_beta 90.00
_cell_angle_gamma 120.00
loop_
_atom_site_label
_atom_site_type_symbol
_atom_site_fract_x
_atom_site_fract_y
_atom_site_fract_z
_atom_site_occupancy
Sr1 Sr 0.0000 0.0000 0.1169 1
Pm1 Pm 0.0000 0.0000 0.0000 1
P1 P 0.0000 0.0000 0.5000 1
```